# LiMg2B

Crystalline LiMg2B at its relaxed geometry (PBE, Alexandria via LeMat-Bulk).

a = 4.5728 Å, b = 4.5728 Å, c = 6.8337 Å
α = 102.04°, β = 102.04°, γ = 86.58°
Sites, in units of the cell vectors:
Li1 0.2417 0.7583 0.0000
Li2 0.7583 0.2417 0.0000
Mg1 0.3469 0.3469 0.3241
Mg2 0.4317 0.9411 0.6249
Mg3 0.8339 0.8339 0.2732
Mg4 0.9411 0.4317 0.6249
B1 0.4776 0.4776 0.7359
B2 0.7021 0.7021 0.9015

Results
Space-group type: Cm (8)
N(E_F) in states/eV per atom: 0.360
E_form in eV/atom: 0.107

***

# LiMgB12

Crystalline LiMgB12 at its relaxed geometry (PBE, Alexandria via LeMat-Bulk).

a = 4.1225 Å, b = 4.1225 Å, c = 8.2429 Å
α = 90.00°, β = 90.00°, γ = 90.00°
Sites, in units of the cell vectors:
Li1 0.0000 0.0000 0.0000
Mg1 0.0000 0.0000 0.5000
B1 0.1987 0.5000 0.2517
B2 0.1987 0.5000 0.7483
B3 0.5000 0.1987 0.2517
B4 0.5000 0.1987 0.7483
B5 0.5000 0.5000 0.1002
B6 0.5000 0.5000 0.4013
B7 0.5000 0.5000 0.5987
B8 0.5000 0.5000 0.8998
B9 0.5000 0.8013 0.2517
B10 0.5000 0.8013 0.7483
B11 0.8013 0.5000 0.2517
B12 0.8013 0.5000 0.7483

Results
Space-group type: P4/mmm (123)
N(E_F) in states/eV per atom: 0.228
E_form in eV/atom: -0.008

***

# LiMg2B

Crystalline LiMg2B at its relaxed geometry (PBE, Alexandria via LeMat-Bulk).

a = 5.5884 Å, b = 5.5884 Å, c = 7.5788 Å
α = 118.92°, β = 118.92°, γ = 38.77°
Sites, in units of the cell vectors:
Li1 0.1112 0.1112 0.1585
Li2 0.8888 0.8888 0.8415
Mg1 0.1601 0.1601 0.8264
Mg2 0.3898 0.3898 0.5758
Mg3 0.6102 0.6102 0.4242
Mg4 0.8399 0.8399 0.1736
B1 0.4389 0.4389 0.0350
B2 0.5611 0.5611 0.9650

Results
Space-group type: C2/m (12)
N(E_F) in states/eV per atom: 0.225
E_form in eV/atom: 0.108

***

# LiMg2B

Crystalline LiMg2B at its relaxed geometry (PBE, Alexandria via LeMat-Bulk).

a = 7.5173 Å, b = 7.5173 Å, c = 7.5173 Å
α = 131.99°, β = 131.99°, γ = 70.25°
Sites, in units of the cell vectors:
Li1 0.0000 0.0000 0.0000
Li2 0.7500 0.2500 0.5000
Mg1 0.3726 0.1250 0.7476
Mg2 0.3750 0.6274 0.7524
Mg3 0.3774 0.6250 0.2524
Mg4 0.8750 0.6226 0.2476
B1 0.2500 0.7500 0.5000
B2 0.5000 0.5000 0.0000

Results
Space-group type: I-42d (122)
N(E_F) in states/eV per atom: 0.141
E_form in eV/atom: 0.735

***

# LiMg2B9

Crystalline LiMg2B9 at its relaxed geometry (PBE, Alexandria via LeMat-Bulk).

a = 7.5252 Å, b = 7.5252 Å, c = 7.5252 Å
α = 35.54°, β = 35.54°, γ = 35.54°
Sites, in units of the cell vectors:
Li1 0.0000 0.0000 0.0000
Mg1 0.1287 0.1287 0.1287
Mg2 0.8713 0.8713 0.8713
B1 0.1803 0.5481 0.5481
B2 0.2442 0.2442 0.2442
B3 0.4519 0.4519 0.8197
B4 0.4519 0.8197 0.4519
B5 0.5000 0.5000 0.5000
B6 0.5481 0.1803 0.5481
B7 0.5481 0.5481 0.1803
B8 0.7558 0.7558 0.7558
B9 0.8197 0.4519 0.4519

Results
Space-group type: R-3m (166)
N(E_F) in states/eV per atom: 0.264
E_form in eV/atom: 0.217

***

# LiMg2B

Crystalline LiMg2B at its relaxed geometry (PBE, Alexandria via LeMat-Bulk).

a = 4.4899 Å, b = 4.4899 Å, c = 6.9204 Å
α = 97.85°, β = 97.85°, γ = 87.70°
Sites, in units of the cell vectors:
Li1 0.2362 0.7638 0.0000
Li2 0.7638 0.2362 0.0000
Mg1 0.1210 0.6139 0.3673
Mg2 0.1897 0.1897 0.6949
Mg3 0.6139 0.1210 0.3673
Mg4 0.6955 0.6955 0.7223
B1 0.5910 0.5910 0.2368
B2 0.7521 0.7521 0.0903

Results
Space-group type: Cm (8)
N(E_F) in states/eV per atom: 0.335
E_form in eV/atom: 0.139

***

# LiMg2B

Crystalline LiMg2B at its relaxed geometry (PBE, Alexandria via LeMat-Bulk).

a = 4.5763 Å, b = 5.4990 Å, c = 6.1285 Å
α = 101.84°, β = 100.77°, γ = 110.70°
Sites, in units of the cell vectors:
Li1 0.0000 0.0000 0.0000
Li2 0.4372 0.6292 0.6452
Mg1 0.1339 0.9823 0.5041
Mg2 0.4478 0.7440 0.1370
Mg3 0.7486 0.3677 0.2641
Mg4 0.8622 0.3540 0.7590
B1 0.3821 0.3054 0.8860
B2 0.4665 0.0458 0.8927

Results
Space-group type: P1 (1)
N(E_F) in states/eV per atom: 0.295
E_form in eV/atom: 0.113

***

# LiMg4B2

Crystalline LiMg4B2 at its relaxed geometry (PBE, Alexandria via LeMat-Bulk).

a = 6.6550 Å, b = 6.6550 Å, c = 6.6550 Å
α = 136.59°, β = 136.59°, γ = 63.08°
Sites, in units of the cell vectors:
Li1 0.0000 0.0000 0.0000
Mg1 0.0000 0.5000 0.5000
Mg2 0.2320 0.2320 0.0000
Mg3 0.5000 0.0000 0.5000
Mg4 0.7680 0.7680 0.0000
B1 0.4298 0.4298 0.0000
B2 0.5702 0.5702 0.0000

Results
Space-group type: I4/mmm (139)
N(E_F) in states/eV per atom: 0.270
E_form in eV/atom: 0.599

***

# LiMg2B

Crystalline LiMg2B at its relaxed geometry (PBE, Alexandria via LeMat-Bulk).

a = 5.7668 Å, b = 5.7668 Å, c = 7.7154 Å
α = 122.65°, β = 122.65°, γ = 39.42°
Sites, in units of the cell vectors:
Li1 0.0000 0.0000 0.0000
Li2 0.6579 0.6579 0.1897
Mg1 0.2510 0.2510 0.9438
Mg2 0.4558 0.4558 0.6726
Mg3 0.7084 0.7084 0.5829
Mg4 0.9510 0.9510 0.3356
B1 0.1824 0.1824 0.3671
B2 0.2895 0.2895 0.2882

Results
Space-group type: Cm (8)
N(E_F) in states/eV per atom: 0.233
E_form in eV/atom: 0.115

***

# LiMgB

Crystalline LiMgB at its relaxed geometry (PBE, Alexandria via LeMat-Bulk).

a = 6.2511 Å, b = 6.2511 Å, c = 4.8228 Å
α = 103.56°, β = 103.56°, γ = 28.66°
Sites, in units of the cell vectors:
Li1 0.0827 0.0827 0.2649
Li2 0.9173 0.9173 0.7351
Mg1 0.3509 0.3509 0.1873
Mg2 0.6491 0.6491 0.8127
B1 0.2549 0.2549 0.5629
B2 0.7451 0.7451 0.4371

Results
Space-group type: C2/m (12)
N(E_F) in states/eV per atom: 0.102
E_form in eV/atom: -0.043

***

# LiMg2B

Crystalline LiMg2B at its relaxed geometry (PBE, Alexandria via LeMat-Bulk).

a = 4.6514 Å, b = 5.4545 Å, c = 6.0945 Å
α = 101.19°, β = 101.08°, γ = 112.06°
Sites, in units of the cell vectors:
Li1 0.0830 0.3516 0.1331
Li2 0.9170 0.6484 0.8669
Mg1 0.1908 0.3111 0.6205
Mg2 0.4845 0.0509 0.2466
Mg3 0.5155 0.9491 0.7534
Mg4 0.8092 0.6889 0.3795
B1 0.4713 0.6351 0.9975
B2 0.5287 0.3649 0.0025

Results
Space-group type: P-1 (2)
N(E_F) in states/eV per atom: 0.273
E_form in eV/atom: 0.092

***

# LiMg2MnB

Crystalline LiMg2MnB at its relaxed geometry (PBE, Alexandria via LeMat-Bulk).

a = 4.4448 Å, b = 4.4448 Å, c = 4.1442 Å
α = 90.00°, β = 90.00°, γ = 90.00°
Sites, in units of the cell vectors:
Li1 0.0000 0.0000 0.0000
Mg1 0.0000 0.5000 0.5000
Mg2 0.5000 0.0000 0.5000
Mn1 0.5000 0.5000 0.0000
B1 0.0000 0.0000 0.5000

Results
Space-group type: P4/mmm (123)
N(E_F) in states/eV per atom: 1.482
E_form in eV/atom: 0.957

***

# Li2MgMnB

Crystalline Li2MgMnB at its relaxed geometry (PBE, Alexandria via LeMat-Bulk).

a = 4.1992 Å, b = 4.1992 Å, c = 4.6013 Å
α = 90.00°, β = 90.00°, γ = 90.00°
Sites, in units of the cell vectors:
Li1 0.0000 0.5000 0.0000
Li2 0.5000 0.0000 0.0000
Mg1 0.0000 0.0000 0.0000
Mn1 0.0000 0.0000 0.5000
B1 0.5000 0.5000 0.5000

Results
Space-group type: P4/mmm (123)
N(E_F) in states/eV per atom: 2.012
E_form in eV/atom: 1.869

***

# LiMgNi2B

Crystalline LiMgNi2B at its relaxed geometry (PBE, Alexandria via LeMat-Bulk).

a = 3.8436 Å, b = 3.8436 Å, c = 4.1064 Å
α = 90.00°, β = 90.00°, γ = 90.00°
Sites, in units of the cell vectors:
Li1 0.0000 0.0000 0.0000
Mg1 0.5000 0.5000 0.0000
Ni1 0.0000 0.5000 0.5000
Ni2 0.5000 0.0000 0.5000
B1 0.0000 0.0000 0.5000

Results
Space-group type: P4/mmm (123)
N(E_F) in states/eV per atom: 0.696
E_form in eV/atom: -0.157

***

# LiMgB2P

Crystalline LiMgB2P at its relaxed geometry (PBE, Alexandria via LeMat-Bulk).

a = 3.9054 Å, b = 3.9054 Å, c = 4.9863 Å
α = 90.00°, β = 90.00°, γ = 90.00°
Sites, in units of the cell vectors:
Li1 0.0000 0.0000 0.0000
Mg1 0.5000 0.5000 0.0000
B1 0.0000 0.5000 0.5000
B2 0.5000 0.0000 0.5000
P1 0.5000 0.5000 0.5000

Results
Space-group type: P4/mmm (123)
N(E_F) in states/eV per atom: 0.405
E_form in eV/atom: 0.998

***

# LiMg2B2Pd5

Crystalline LiMg2B2Pd5 at its relaxed geometry (PBE, Alexandria via LeMat-Bulk).

a = 9.3270 Å, b = 9.3270 Å, c = 3.1010 Å
α = 90.00°, β = 90.00°, γ = 90.00°
Sites, in units of the cell vectors:
Li1 0.0000 0.0000 0.0000
Li2 0.5000 0.5000 0.0000
Mg1 0.1747 0.3253 0.0000
Mg2 0.3253 0.8253 0.0000
Mg3 0.6747 0.1747 0.0000
Mg4 0.8253 0.6747 0.0000
B1 0.1271 0.6271 0.0000
B2 0.3729 0.1271 0.0000
B3 0.6271 0.8729 0.0000
B4 0.8729 0.3729 0.0000
Pd1 0.0000 0.5000 0.5000
Pd2 0.0726 0.7858 0.5000
Pd3 0.2142 0.0726 0.5000
Pd4 0.2858 0.5726 0.5000
Pd5 0.4274 0.2858 0.5000
Pd6 0.5000 0.0000 0.5000
Pd7 0.5726 0.7142 0.5000
Pd8 0.7142 0.4274 0.5000
Pd9 0.7858 0.9274 0.5000
Pd10 0.9274 0.2142 0.5000

Results
Space-group type: P4/mbm (127)
N(E_F) in states/eV per atom: 0.384
E_form in eV/atom: -0.445

***

# LiMgBPd2

Crystalline LiMgBPd2 at its relaxed geometry (PBE, Alexandria via LeMat-Bulk).

a = 4.1556 Å, b = 4.1556 Å, c = 4.1815 Å
α = 90.00°, β = 90.00°, γ = 90.00°
Sites, in units of the cell vectors:
Li1 0.0000 0.0000 0.0000
Mg1 0.5000 0.5000 0.0000
B1 0.0000 0.0000 0.5000
Pd1 0.0000 0.5000 0.5000
Pd2 0.5000 0.0000 0.5000

Results
Space-group type: P4/mmm (123)
N(E_F) in states/eV per atom: 0.513
E_form in eV/atom: -0.332

***

# Li2MgB2Pd5

Crystalline Li2MgB2Pd5 at its relaxed geometry (PBE, Alexandria via LeMat-Bulk).

a = 9.6253 Å, b = 9.6253 Å, c = 2.9606 Å
α = 90.00°, β = 90.00°, γ = 90.00°
Sites, in units of the cell vectors:
Li1 0.1761 0.3239 0.0000
Li2 0.3239 0.8239 0.0000
Li3 0.6761 0.1761 0.0000
Li4 0.8239 0.6761 0.0000
Mg1 0.0000 0.0000 0.0000
Mg2 0.5000 0.5000 0.0000
B1 0.1257 0.6257 0.0000
B2 0.3743 0.1257 0.0000
B3 0.6257 0.8743 0.0000
B4 0.8743 0.3743 0.0000
Pd1 0.0000 0.5000 0.5000
Pd2 0.0728 0.7798 0.5000
Pd3 0.2202 0.0728 0.5000
Pd4 0.2798 0.5728 0.5000
Pd5 0.4272 0.2798 0.5000
Pd6 0.5000 0.0000 0.5000
Pd7 0.5728 0.7202 0.5000
Pd8 0.7202 0.4272 0.5000
Pd9 0.7798 0.9272 0.5000
Pd10 0.9272 0.2202 0.5000

Results
Space-group type: P4/mbm (127)
N(E_F) in states/eV per atom: 0.337
E_form in eV/atom: -0.413

***

# LiMg2B2Rh5

Crystalline LiMg2B2Rh5 at its relaxed geometry (PBE, Alexandria via LeMat-Bulk).

a = 9.3087 Å, b = 9.3087 Å, c = 2.9277 Å
α = 90.00°, β = 90.00°, γ = 90.00°
Sites, in units of the cell vectors:
Li1 0.0000 0.0000 0.0000
Li2 0.5000 0.5000 0.0000
Mg1 0.1756 0.3244 0.0000
Mg2 0.3244 0.8244 0.0000
Mg3 0.6756 0.1756 0.0000
Mg4 0.8244 0.6756 0.0000
B1 0.1298 0.6298 0.0000
B2 0.3702 0.1298 0.0000
B3 0.6298 0.8702 0.0000
B4 0.8702 0.3702 0.0000
Rh1 0.0000 0.5000 0.5000
Rh2 0.0707 0.7868 0.5000
Rh3 0.2132 0.0707 0.5000
Rh4 0.2868 0.5707 0.5000
Rh5 0.4293 0.2868 0.5000
Rh6 0.5000 0.0000 0.5000
Rh7 0.5707 0.7132 0.5000
Rh8 0.7132 0.4293 0.5000
Rh9 0.7868 0.9293 0.5000
Rh10 0.9293 0.2132 0.5000

Results
Space-group type: P4/mbm (127)
N(E_F) in states/eV per atom: 0.369
E_form in eV/atom: -0.507

***

# Li2MgB2Rh5

Crystalline Li2MgB2Rh5 at its relaxed geometry (PBE, Alexandria via LeMat-Bulk).

a = 9.4241 Å, b = 9.4241 Å, c = 2.9080 Å
α = 90.00°, β = 90.00°, γ = 90.00°
Sites, in units of the cell vectors:
Li1 0.1750 0.3250 0.0000
Li2 0.3250 0.8250 0.0000
Li3 0.6750 0.1750 0.0000
Li4 0.8250 0.6750 0.0000
Mg1 0.0000 0.0000 0.0000
Mg2 0.5000 0.5000 0.0000
B1 0.1264 0.6264 0.0000
B2 0.3736 0.1264 0.0000
B3 0.6264 0.8736 0.0000
B4 0.8736 0.3736 0.0000
Rh1 0.0000 0.5000 0.5000
Rh2 0.0723 0.7811 0.5000
Rh3 0.2189 0.0723 0.5000
Rh4 0.2811 0.5723 0.5000
Rh5 0.4277 0.2811 0.5000
Rh6 0.5000 0.0000 0.5000
Rh7 0.5723 0.7189 0.5000
Rh8 0.7189 0.4277 0.5000
Rh9 0.7811 0.9277 0.5000
Rh10 0.9277 0.2189 0.5000

Results
Space-group type: P4/mbm (127)
N(E_F) in states/eV per atom: 0.600
E_form in eV/atom: -0.372

***

# LiMgBRu2

Crystalline LiMgBRu2 at its relaxed geometry (PBE, Alexandria via LeMat-Bulk).

a = 4.0895 Å, b = 4.0895 Å, c = 4.1660 Å
α = 90.00°, β = 90.00°, γ = 90.00°
Sites, in units of the cell vectors:
Li1 0.0000 0.0000 0.0000
Mg1 0.5000 0.5000 0.0000
B1 0.0000 0.0000 0.5000
Ru1 0.0000 0.5000 0.5000
Ru2 0.5000 0.0000 0.5000

Results
Space-group type: P4/mmm (123)
N(E_F) in states/eV per atom: 0.992
E_form in eV/atom: 0.026